(1)
Density functional theory data (PBE) for crystalline Cu5I7 at its relaxed geometry.

POSCAR file:
```
Cu5I7
1.0
6.626 -2.974 0.000
6.626 2.974 0.000
-1.351 0.000 9.230
Cu I
5 7
Direct
0.000 0.000 0.000
0.131 0.150 0.430
0.287 0.285 0.857
0.715 0.713 0.143
0.850 0.869 0.570
0.046 0.533 0.357
0.187 0.676 0.783
0.324 0.813 0.217
0.467 0.954 0.643
0.603 0.115 0.078
0.739 0.261 0.500
0.885 0.397 0.922
```

Calculated values
As for the crystal system: monoclinic. Its symmetry is C2 (5). For the total energy, the calculation gives -2.62 eV/atom.



(2)
Density functional theory data (PBE) for crystalline PmErGa4 at its relaxed geometry.

POSCAR file:
```
PmErGa4
1.0
4.236 0.000 0.000
-2.118 3.669 0.000
0.000 0.000 8.241
Pm Er Ga
1 1 4
Direct
0.000 0.000 0.000
0.000 0.000 0.500
0.333 0.667 0.258
0.333 0.667 0.742
0.667 0.333 0.258
0.667 0.333 0.742
```

Calculated values
As for the crystal system: hexagonal. Its symmetry is P6/mmm (191). For the total energy, the calculation gives -4.22 eV/atom.



(3)
Density functional theory data (PBE) for crystalline KNaCdSnS4 at its relaxed geometry.

POSCAR file:
```
KNaCdSnS4
1.0
4.919 -4.686 0.000
4.919 4.686 0.000
-4.918 0.000 4.932
K Na Cd Sn S
1 1 1 1 4
Direct
0.000 0.000 0.000
0.249 0.751 0.500
0.499 0.501 0.000
0.749 0.251 0.500
0.111 0.384 0.938
0.443 0.176 0.557
0.616 0.889 0.062
0.824 0.557 0.443
```

Calculated values
As for the crystal system: monoclinic. Its symmetry is C2 (5). The energy above the lowest structure with this stoichiometry is 50.6 meV per atom.



(4)
Density functional theory data (PBE) for crystalline YMgCdIn at its relaxed geometry.

POSCAR file:
```
YMgCdIn
1.0
0.000 3.658 3.658
3.658 0.000 3.658
3.658 3.658 0.000
Y Mg Cd In
1 1 1 1
Direct
0.000 0.000 0.000
0.250 0.250 0.250
0.500 0.500 0.500
0.750 0.750 0.750
```

Calculated values
As for the crystal system: cubic. Its symmetry is F-43m (216). The energy above the lowest structure with this stoichiometry is 140.6 meV per atom.



(5)
Density functional theory data (PBE) for crystalline Gd5Ho2Ag at its relaxed geometry.

POSCAR file:
```
Gd5Ho2Ag
1.0
7.353 0.000 0.000
0.000 7.353 0.000
0.000 0.000 5.344
Gd Ho Ag
5 2 1
Direct
0.000 0.000 0.000
0.271 0.271 0.500
0.271 0.729 0.500
0.729 0.271 0.500
0.729 0.729 0.500
0.000 0.500 0.000
0.500 0.000 0.000
0.000 0.000 0.500
```

Calculated values
As for the crystal system: tetragonal. Its symmetry is P4/mmm (123). Its energy relative to the elements is 0.496 eV per atom.



(6)
Density functional theory data (PBE) for crystalline Ho2ErAgHg3Au2 at its relaxed geometry.

POSCAR file:
```
Ho2ErAgHg3Au2
1.0
3.702 0.000 0.000
0.000 6.903 3.990
0.000 -6.903 3.990
Ho Er Ag Hg Au
2 1 1 3 2
Direct
0.000 0.202 0.798
0.000 0.798 0.202
0.000 0.605 0.605
0.000 0.202 0.202
0.500 0.202 0.474
0.500 0.474 0.202
0.500 0.930 0.930
0.500 0.535 0.867
0.500 0.867 0.535
```

Calculated values
As for the crystal system: orthorhombic. Its symmetry is Amm2 (38). Its energy relative to the elements is -0.578 eV per atom.



(7)
Density functional theory data (PBE) for crystalline Li2Nb at its relaxed geometry.

POSCAR file:
```
Li2Nb
1.0
0.000 6.419 6.419
6.419 0.000 6.419
6.419 6.419 0.000
Li Nb
4 2
Direct
0.000 0.000 0.000
0.000 0.000 0.500
0.000 0.500 0.000
0.500 0.000 0.000
0.125 0.125 0.125
0.875 0.875 0.875
```

Calculated values
As for the crystal system: cubic. Its symmetry is Fd-3m (227). The energy above the lowest structure with this stoichiometry is 1714.4 meV per atom.



(8)
Density functional theory data (PBE) for crystalline LuMgCoPb at its relaxed geometry.

POSCAR file:
```
LuMgCoPb
1.0
0.000 3.369 3.369
3.369 0.000 3.369
3.369 3.369 0.000
Lu Mg Co Pb
1 1 1 1
Direct
0.000 0.000 0.000
0.250 0.250 0.250
0.750 0.750 0.750
0.500 0.500 0.500
```

Calculated values
As for the crystal system: cubic. Its symmetry is F-43m (216). The energy above the lowest structure with this stoichiometry is 0.0 meV per atom.



(9)
Density functional theory data (PBE) for crystalline Dy2YNiIr2Pb3 at its relaxed geometry.

POSCAR file:
```
Dy2YNiIr2Pb3
1.0
3.770 0.000 0.000
0.000 6.727 3.876
0.000 -6.727 3.876
Dy Y Ni Ir Pb
2 1 1 2 3
Direct
0.000 0.204 0.796
0.000 0.796 0.204
0.000 0.610 0.610
0.000 0.203 0.203
0.500 0.537 0.872
0.500 0.872 0.537
0.500 0.204 0.462
0.500 0.462 0.204
0.500 0.945 0.945
```

Calculated values
As for the crystal system: orthorhombic. Its symmetry is Amm2 (38). For the total energy, the calculation gives -6.11 eV/atom.



(10)
Density functional theory data (PBE) for crystalline CsIrPd at its relaxed geometry.

POSCAR file:
```
CsIrPd
1.0
0.000 3.377 3.377
3.377 0.000 3.377
3.377 3.377 0.000
Cs Ir Pd
1 1 1
Direct
0.000 0.000 0.000
0.250 0.250 0.250
0.500 0.500 0.500
```

Calculated values
As for the crystal system: cubic. Its symmetry is F-43m (216). The energy above the lowest structure with this stoichiometry is 0.0 meV per atom.



(11)
Density functional theory data (PBE) for crystalline BaZrTc at its relaxed geometry.

POSCAR file:
```
BaZrTc
1.0
0.000 3.441 3.441
3.441 0.000 3.441
3.441 3.441 0.000
Ba Zr Tc
1 1 1
Direct
0.000 0.000 0.000
0.500 0.500 0.500
0.250 0.250 0.250
```

Calculated values
As for the crystal system: cubic. Its symmetry is F-43m (216). The energy above the lowest structure with this stoichiometry is 0.0 meV per atom.



(12)
Density functional theory data (PBE) for crystalline RbBAu at its relaxed geometry.

POSCAR file:
```
RbBAu
1.0
0.000 3.724 3.724
3.724 0.000 3.724
3.724 3.724 0.000
Rb B Au
1 1 1
Direct
0.000 0.000 0.000
0.250 0.250 0.250
0.750 0.750 0.750
```

Calculated values
As for the crystal system: cubic. Its symmetry is F-43m (216). The energy above the lowest structure with this stoichiometry is 474.7 meV per atom.



(13)
Density functional theory data (PBE) for crystalline SmErNp at its relaxed geometry.

POSCAR file:
```
SmErNp
1.0
0.000 3.786 3.786
3.786 0.000 3.786
3.786 3.786 0.000
Sm Er Np
1 1 1
Direct
0.000 0.000 0.000
0.750 0.750 0.750
0.500 0.500 0.500
```

Calculated values
As for the crystal system: cubic. Its symmetry is F-43m (216). The energy above the lowest structure with this stoichiometry is 0.0 meV per atom. Its energy relative to the elements is 1.163 eV per atom.



How do the records compare in ρ? In the order shown, they have 5.5 7.7 3.1 5.8 7.0 13.0 0.7 10.1 12.5 9.3 6.7 4.7 8.5 Mg/m³.